# 1
VASP calculation (PBE) on a relaxed LaPa2TcN4 crystal.

a b c (Å): 3.408 6.257 11.837
angles (deg): 90.00 90.00 105.80
Positions (direct):
Tc (0.842, 0.683, 0.750)
Tc (0.158, 0.317, 0.250)
N (0.450, 0.900, 0.750)
N (0.730, 0.460, 0.610)
N (0.000, 0.000, 0.000)
N (0.000, 0.000, 0.500)
N (0.270, 0.540, 0.110)
N (0.550, 0.100, 0.250)
N (0.270, 0.540, 0.390)
N (0.730, 0.460, 0.890)
La (0.898, 0.797, 0.250)
La (0.102, 0.203, 0.750)
Pa (0.368, 0.737, 0.555)
Pa (0.632, 0.263, 0.445)
Pa (0.632, 0.263, 0.055)
Pa (0.368, 0.737, 0.945)

Summary:
Symmetry: Cmcm, No. 63
Magnetic moment in μB/cell: 0.000
E_form (uncorrected) in meV/atom: -1274.6
V in Å³/cell: 243



# 2
VASP calculation (PBE) on a relaxed Cr2SnOs crystal.

a b c (Å): 7.067 7.067 5.700
angles (deg): 51.69 51.69 90.00
Last column: magnetic moment on the atom in μB.
Positions (direct):
Os (0.750, 0.250, 0.500)  -0.42
Os (0.000, 0.000, 0.000)  -0.42
Cr (0.673, 0.125, 0.250)  1.77
Cr (0.077, 0.625, 0.250)  1.74
Cr (0.375, 0.327, 0.750)  1.77
Cr (0.875, 0.923, 0.750)  1.73
Sn (0.500, 0.500, 0.000)  -0.05
Sn (0.250, 0.750, 0.500)  -0.05

Summary:
Symmetry: I-42d, No. 122
Energy of formation from the pure elements in eV/atom: 0.787
Magnetic moment in μB/cell: 6.419
V in Å³/cell: 137



# 3
VASP calculation (PBE) on a relaxed La2CuRe crystal.

a b c (Å): 5.096 5.096 5.096
angles (deg): 60.00 60.00 60.00
Positions (direct):
Re (0.500, 0.500, 0.500)
La (0.750, 0.750, 0.750)
La (0.250, 0.250, 0.250)
Cu (0.000, 0.000, 0.000)

Summary:
Symmetry: Fm-3m, No. 225
Energy of formation from the pure elements in eV/atom: 0.180
Energy relative to the lowest polymorph listed for this composition in meV per atom: 32
Magnetic moment in μB/cell: 0.000
V in Å³/cell: 94



# 4
VASP calculation (PBE) on a relaxed Pr7Dy2Ho2 crystal.

a b c (Å): 8.309 7.017 7.017
angles (deg): 103.64 81.56 81.56
Positions (direct):
Dy (0.179, 0.585, 0.585)
Dy (0.821, 0.415, 0.415)
Pr (0.829, 0.909, 0.486)
Pr (0.000, 0.000, 0.000)
Pr (0.829, 0.486, 0.909)
Pr (0.518, 0.199, 0.199)
Pr (0.171, 0.514, 0.091)
Pr (0.482, 0.801, 0.801)
Pr (0.171, 0.091, 0.514)
Ho (0.500, 0.712, 0.288)
Ho (0.500, 0.288, 0.712)

Summary:
Symmetry: C2/m, No. 12
Energy of formation from the pure elements in eV/atom: 0.126
Energy relative to the lowest polymorph listed for this composition in meV per atom: 0
Magnetic moment in μB/cell: 0.000
V in Å³/cell: 386



# 5
VASP calculation (PBE) on a relaxed K2HgTe crystal.

a b c (Å): 9.236 5.666 4.602
angles (deg): 89.96 60.16 127.80
Positions (direct):
K (0.500, 0.000, 0.500)
K (0.000, 0.000, 0.000)
Te (0.000, 0.500, 0.500)
Hg (0.500, 0.500, 0.000)

Summary:
Symmetry: P4/mmm, No. 123
Energy relative to the lowest polymorph listed for this composition in meV per atom: 104
Magnetic moment in μB/cell: 0.000
E_form (uncorrected) in meV/atom: -669.8
V in Å³/cell: 148



# 6
VASP calculation (PBE) on a relaxed AlBi2Se4 crystal.

a b c (Å): 7.177 7.059 8.392
angles (deg): 90.00 106.42 90.00
Positions (direct):
Se (0.507, 0.008, 0.269)
Se (0.059, 0.750, 0.373)
Se (0.941, 0.250, 0.627)
Se (0.493, 0.992, 0.731)
Se (0.091, 0.750, 0.917)
Se (0.507, 0.492, 0.269)
Se (0.909, 0.250, 0.083)
Se (0.493, 0.508, 0.731)
Bi (0.207, 0.250, 0.936)
Bi (0.689, 0.750, 0.553)
Bi (0.793, 0.750, 0.064)
Bi (0.311, 0.250, 0.447)
Al (0.278, 0.750, 0.205)
Al (0.722, 0.250, 0.795)

Summary:
Symmetry: P2_1/m, No. 11
Magnetic moment in μB/cell: 0.000
E_form (uncorrected) in meV/atom: -396.0
V in Å³/cell: 408



Question: Which of these has the lowest V?
Answer: La2CuRe